(1)
Below is an optimized crystal structure of CrTc3Bi, with properties calculated at the PBE-GGA level.

## Properties
The calculation puts the relative energy among the computed polymorphs at 0.0000 eV per atom. The value obtained for the magnetization is 1.13 μB per formula unit. The formation enthalpy at 0 K is 1.109 eV/atom. The symmetry is No. 221. The value obtained for the total DFT energy (no corrections) is -7.8116 eV per atom.

```
CrTc3Bi
1.0
4.529 0.000 0.000
0.000 4.529 0.000
0.000 0.000 4.529
Bi Cr Tc
1 1 3
direct
0.500 0.500 0.500
0.000 0.000 0.000
0.000 0.000 0.500
0.000 0.500 0.000
0.500 0.000 0.000
```

(2)
Below is an optimized crystal structure of CrBi3Te, with properties calculated at the PBE-GGA level.

## Properties
The calculation puts the relative energy among the computed polymorphs at 0.0000 eV per atom. The value obtained for the magnetization is 0.00 μB per formula unit. The symmetry is No. 221. The calculation puts the energy relative to the elements, uncorrected at 356.2 meV/atom. The value obtained for the total DFT energy (no corrections) is -4.5254 eV per atom.

```
CrBi3Te
1.0
5.203 0.000 0.000
0.000 5.203 0.000
0.000 0.000 5.203
Cr Bi Te
1 3 1
direct
0.000 0.000 0.000
0.500 0.000 0.000
0.000 0.500 0.000
0.000 0.000 0.500
0.500 0.500 0.500
```

(3)
Below is an optimized crystal structure of CrBiTe3, with properties calculated at the PBE-GGA level.

## Properties
The calculation puts the relative energy among the computed polymorphs at 0.4975 eV per atom. The value obtained for the magnetization is 3.90 μB per formula unit. The symmetry is No. 221. The calculation puts the energy relative to the elements, uncorrected at 880.4 meV/atom. The value obtained for the total DFT energy (no corrections) is -3.7055 eV per atom.

```
CrBiTe3
1.0
-1.461 5.127 -2.454
0.875 -2.301 -5.327
-5.616 -1.692 -0.191
Bi Cr Te
1 1 3
direct
0.000 0.000 0.000
0.500 0.500 0.500
0.500 0.000 0.000
0.000 0.000 0.500
0.000 0.500 0.000
```

(4)
Below is an optimized crystal structure of Cr2BiTe, with properties calculated at the PBE-GGA level.

## Properties
The calculation puts the relative energy among the computed polymorphs at 0.0000 eV per atom. The value obtained for the magnetization is 7.60 μB per formula unit. The symmetry is No. 225. The calculation puts the energy relative to the elements, uncorrected at 450.1 meV/atom. The value obtained for the total DFT energy (no corrections) is -6.1173 eV per atom.

```
Cr2BiTe
1.0
3.548 -1.645 3.152
-1.298 -1.968 4.436
0.544 -4.926 0.818
Te Bi Cr
1 1 2
direct
0.000 0.000 0.000
0.500 0.500 0.500
0.750 0.750 0.750
0.250 0.250 0.250
```

(5)
Below is an optimized crystal structure of CrBiTe3, with properties calculated at the PBE-GGA level.

## Properties
The calculation puts the relative energy among the computed polymorphs at 0.0000 eV per atom. The value obtained for the magnetization is 0.00 μB per formula unit. The symmetry is No. 221. The calculation puts the energy relative to the elements, uncorrected at 382.8 meV/atom. The value obtained for the total DFT energy (no corrections) is -4.2031 eV per atom.

```
CrBiTe3
1.0
5.124 0.000 0.000
0.000 5.124 0.000
0.000 0.000 5.124
Cr Bi Te
1 1 3
direct
0.000 0.000 0.000
0.500 0.500 0.500
0.500 0.000 0.000
0.000 0.500 0.000
0.000 0.000 0.500
```

(6)
Below is an optimized crystal structure of Cr2BiTe, with properties calculated at the PBE-GGA level.

## Properties
The calculation puts the relative energy among the computed polymorphs at 0.0144 eV per atom. The value obtained for the magnetization is 7.00 μB per formula unit. The symmetry is No. 122. The calculation puts the energy relative to the elements, uncorrected at 464.5 meV/atom. The value obtained for the total DFT energy (no corrections) is -6.1029 eV per atom.

```
Cr2BiTe
1.0
-0.266 3.515 4.978
-4.247 -3.679 2.371
2.502 -3.745 6.515
Bi Cr Te
2 4 2
direct
0.000 0.000 0.000
0.750 0.250 0.500
0.137 0.625 0.250
0.613 0.125 0.250
0.875 0.863 0.750
0.375 0.387 0.750
0.500 0.500 0.000
0.250 0.750 0.500
```

(7)
Below is an optimized crystal structure of Ti2CrBiTe, with properties calculated at the PBE-GGA level.

## Properties
The value obtained for the magnetization is 0.00 μB per formula unit. The symmetry is No. 123. The calculation puts the energy relative to the elements, uncorrected at 468.1 meV/atom. The value obtained for the total DFT energy (no corrections) is -6.0191 eV per atom.

```
Ti2CrBiTe
1.0
-2.864 2.419 -3.000
2.834 -1.178 -3.656
-2.593 -3.975 -0.729
Ti Te Bi Cr
2 1 1 1
direct
0.000 0.000 0.500
0.500 0.000 0.000
0.000 0.500 0.000
0.500 0.500 0.500
0.000 0.000 0.000
```

(8)
Below is an optimized crystal structure of ZrCr2BiTe, with properties calculated at the PBE-GGA level.

## Properties
The value obtained for the magnetization is 6.74 μB per formula unit. The symmetry is No. 123. The calculation puts the energy relative to the elements, uncorrected at 1062.0 meV/atom. The value obtained for the total DFT energy (no corrections) is -5.9015 eV per atom.

```
ZrCr2BiTe
1.0
5.051 0.000 0.000
0.000 5.426 0.000
0.000 0.000 5.051
Bi Cr Te Zr
1 2 1 1
direct
0.500 0.500 0.500
0.000 0.000 0.500
0.500 0.000 0.000
0.000 0.500 0.000
0.000 0.000 0.000
```

Among the records above, which one has the lowest total DFT energy (no corrections)? CrTc3Bi